No. 1
Here is a relaxed structure of In4SiSe from Alexandria via LeMat-Bulk. Energies are from PBE-GGA.

Cell lengths 6.0873, 6.0873, 6.0873 Å; angles 60.00, 60.00, 60.00 degrees
With the nearest neighbours (Å) after each atom.
Sites, in units of the cell vectors:
1 In 0.3748 0.3748 0.3748  6 In 3.04-3.05
2 In 0.8756 0.3748 0.3748  6 In 3.04-3.05
3 In 0.3748 0.3748 0.8756  6 In 3.04-3.05
4 In 0.3748 0.8756 0.3748  6 In 3.04-3.05
5 Se 0.7500 0.7500 0.7500  12 In 3.57, 4 Si 3.73
6 Si 0.0000 0.0000 0.0000  12 In 3.57, 4 Se 3.73

Properties
Space-group type: F-43m
Calculated density in g/cm³: 5.90
ΔE_f (raw) in eV per atom: 0.43

No. 2
Here is a relaxed structure of Li7YCd4 from Alexandria via LeMat-Bulk. Energies are from PBE-GGA.

Cell lengths 5.1993, 9.3081, 5.8482 Å; angles 84.03, 63.61, 73.78 degrees
With the nearest neighbours (Å) after each atom.
Sites, in units of the cell vectors:
1 Li 0.6638 0.4384 0.2340  4 Cd 2.82-2.92, 4 Li 2.88-3.08
2 Li 0.9643 0.3808 0.6905  3 Li 2.73-2.95, 1 Cd 2.94
3 Li 0.7797 0.8943 0.5463  2 Li 2.54-2.73, 4 Cd 2.65-2.80
4 Li 0.3362 0.5616 0.7660  4 Cd 2.82-2.92, 4 Li 2.88-3.08
5 Li 0.2203 0.1057 0.4537  2 Li 2.54-2.73, 4 Cd 2.65-2.80
6 Li 0.5000 0.0000 0.0000  2 Li 2.54, 2 Y 2.60, 2 Cd 2.82
7 Li 0.0357 0.6192 0.3095  3 Li 2.73-2.95, 1 Cd 2.94
8 Cd 0.7045 0.6886 0.9024  6 Li 2.65-2.94, 1 Cd 2.90
9 Cd 0.2955 0.3114 0.0976  6 Li 2.65-2.94, 1 Cd 2.90
10 Cd 0.6133 0.1984 0.5749  5 Li 2.72-2.88, 1 Cd 2.90
11 Cd 0.3867 0.8016 0.4251  5 Li 2.72-2.88, 1 Cd 2.90
12 Y 0.0000 0.0000 0.0000  2 Li 2.60

Properties
Calculated formation energy in eV/atom: -0.04
Space-group type: C2/m
Calculated density in g/cm³: 4.01

No. 3
Here is a relaxed structure of Li4YIn15 from Alexandria via LeMat-Bulk. Energies are from PBE-GGA.

Cell lengths 4.5088, 4.5088, 23.6199 Å; angles 90.00, 90.00, 90.00 degrees
With the nearest neighbours (Å) after each atom.
Sites, in units of the cell vectors:
1 In 0.0000 0.5000 0.5000  8 In 3.19-3.24, 4 Li 3.23
2 In 0.0000 0.5000 0.8956  2 Li 3.16, 8 In 3.19-3.34, 2 Y 3.34
3 In 0.5000 0.0000 0.6985  8 In 3.19-3.28, 4 Li 3.28-3.32
4 In 0.5000 0.5000 0.7992  4 Li 3.19, 8 In 3.20-3.28
5 In 0.5000 0.5000 0.0000  4 Y 3.19, 8 In 3.34
6 In 0.0000 0.5000 0.6985  8 In 3.19-3.28, 4 Li 3.28-3.32
7 In 0.0000 0.5000 0.3015  8 In 3.19-3.28, 4 Li 3.28-3.32
8 In 0.5000 0.5000 0.2008  4 Li 3.19, 8 In 3.20-3.28
9 In 0.5000 0.5000 0.5984  4 Li 3.19, 8 In 3.24-3.27
10 In 0.5000 0.5000 0.4016  4 Li 3.19, 8 In 3.24-3.27
11 In 0.5000 0.0000 0.8956  2 Li 3.16, 8 In 3.19-3.34, 2 Y 3.34
12 In 0.5000 0.0000 0.1044  2 Li 3.16, 8 In 3.19-3.34, 2 Y 3.34
13 In 0.0000 0.5000 0.1044  2 Li 3.16, 8 In 3.19-3.34, 2 Y 3.34
14 In 0.5000 0.0000 0.3015  8 In 3.19-3.28, 4 Li 3.28-3.32
15 In 0.5000 0.0000 0.5000  8 In 3.19-3.24, 4 Li 3.23
16 Li 0.0000 0.0000 0.5977  12 In 3.19-3.28
17 Li 0.0000 0.0000 0.1983  12 In 3.16-3.32
18 Li 0.0000 0.0000 0.8017  12 In 3.16-3.32
19 Li 0.0000 0.0000 0.4023  12 In 3.19-3.28
20 Y 0.0000 0.0000 0.0000  12 In 3.19-3.34

Properties
Calculated formation energy in eV/atom: -0.18
Space-group type: P4/mmm
Calculated density in g/cm³: 6.36

No. 4
Here is a relaxed structure of CsCdBi from Alexandria via LeMat-Bulk. Energies are from PBE-GGA.

Cell lengths 5.0776, 5.0776, 12.1551 Å; angles 90.00, 90.00, 120.00 degrees
With the nearest neighbours (Å) after each atom.
Sites, in units of the cell vectors:
1 Bi 0.6667 0.3333 0.7500  3 Cd 2.93
2 Bi 0.3333 0.6667 0.2500  3 Cd 2.93
3 Cd 0.6667 0.3333 0.2500  3 Bi 2.93
4 Cd 0.3333 0.6667 0.7500  3 Bi 2.93
5 Cs 0.0000 0.0000 0.5000  6 Cd 4.22, 6 Bi 4.22
6 Cs 0.0000 0.0000 0.0000  6 Cd 4.22, 6 Bi 4.22

Properties
Calculated formation energy in eV/atom: -0.34
Space-group type: P6_3/mmc
Calculated density in g/cm³: 5.56

No. 5
Here is a relaxed structure of Zr2TeAu2 from Alexandria via LeMat-Bulk. Energies are from PBE-GGA.

Cell lengths 7.5494, 7.5494, 3.9563 Å; angles 90.00, 90.00, 90.00 degrees
With the nearest neighbours (Å) after each atom.
Sites, in units of the cell vectors:
1 Au 0.3654 0.1346 0.5000  1 Au 2.87, 6 Zr 2.96-2.98
2 Au 0.1346 0.6346 0.5000  1 Au 2.87, 6 Zr 2.96-2.98
3 Au 0.6346 0.8654 0.5000  1 Au 2.87, 6 Zr 2.96-2.98
4 Au 0.8654 0.3654 0.5000  1 Au 2.87, 6 Zr 2.96-2.98
5 Zr 0.8405 0.6595 0.0000  2 Te 2.84, 6 Au 2.96-2.98
6 Zr 0.1595 0.3405 0.0000  2 Te 2.84, 6 Au 2.96-2.98
7 Zr 0.3405 0.8405 0.0000  2 Te 2.84, 6 Au 2.96-2.98
8 Zr 0.6595 0.1595 0.0000  2 Te 2.84, 6 Au 2.96-2.98
9 Te 0.0000 0.0000 0.0000  4 Zr 2.84
10 Te 0.5000 0.5000 0.0000  4 Zr 2.84

Properties
Space-group type: P4/mbm
Calculated density in g/cm³: 10.37
Polymorph energy (0 for the lowest one) in eV/atom: 0.0000
ΔE_f (raw) in eV per atom: -0.46

No. 6
Here is a relaxed structure of NdPuGaAg from Alexandria via LeMat-Bulk. Energies are from PBE-GGA.

Cell lengths 5.2181, 5.2181, 5.2181 Å; angles 60.00, 60.00, 60.00 degrees
With the nearest neighbours (Å) after each atom.
Sites, in units of the cell vectors:
1 Ag 0.2500 0.2500 0.2500  4 Pu 3.20, 4 Nd 3.20
2 Nd 0.5000 0.5000 0.5000  4 Ag 3.20, 4 Ga 3.20
3 Pu 0.0000 0.0000 0.0000  4 Ga 3.20, 4 Ag 3.20
4 Ga 0.7500 0.7500 0.7500  4 Nd 3.20, 4 Pu 3.20

Properties
Calculated formation energy in eV/atom: -0.20
Space-group type: F-43m
Calculated density in g/cm³: 9.35

No. 7
Here is a relaxed structure of ScSbTe2Br from Alexandria via LeMat-Bulk. Energies are from PBE-GGA.

Cell lengths 5.5789, 5.5789, 5.3709 Å; angles 90.00, 90.00, 90.00 degrees
With the nearest neighbours (Å) after each atom.
Sites, in units of the cell vectors:
1 Sb 0.0000 0.0000 0.5000  2 Br 2.69
2 Sc 0.5000 0.5000 0.5000  8 Te 3.87, 4 Sb 3.94
3 Br 0.0000 0.0000 0.0000  2 Sb 2.69, 4 Te 2.79
4 Te 0.0000 0.5000 0.0000  2 Br 2.79
5 Te 0.5000 0.0000 0.0000  2 Br 2.79

Properties
Space-group type: P4/mmm
Calculated density in g/cm³: 4.98
Polymorph energy (0 for the lowest one) in eV/atom: 0.6854
ΔE_f (raw) in eV per atom: 0.58

No. 8
Here is a relaxed structure of TaGaAg2Os from Alexandria via LeMat-Bulk. Energies are from PBE-GGA.

Cell lengths 4.5338, 4.7112, 4.5338 Å; angles 90.00, 90.00, 90.00 degrees
With the nearest neighbours (Å) after each atom.
Sites, in units of the cell vectors:
1 Ta 0.5000 0.5000 0.5000  4 Os 3.21, 8 Ag 3.27
2 Os 0.0000 0.5000 0.0000  2 Ga 2.36
3 Ga 0.0000 0.0000 0.0000  4 Ag 2.27, 2 Os 2.36
4 Ag 0.0000 0.0000 0.5000  2 Ga 2.27
5 Ag 0.5000 0.0000 0.0000  2 Ga 2.27

Properties
Calculated formation energy in eV/atom: 1.31
Space-group type: P4/mmm
Calculated density in g/cm³: 11.26